! ErThMn2 | Alexandria | PBE | relaxed; values from VASP
&SYSTEM
  ibrav = 0, nat = 4, ntyp = 3
/
ATOMIC_SPECIES
Er 167.26 Er.upf
Th 232.04 Th.upf
Mn 54.94 Mn.upf
ATOMIC_POSITIONS angstrom
Er 0.000 0.000 0.000
Th 2.473 2.473 0.000
Mn 0.000 2.473 1.794
Mn 2.473 0.000 1.794
CELL_PARAMETERS angstrom
4.945 0.000 0.000
0.000 4.945 0.000
0.000 0.000 3.588
! final energy: -7.399 eV/atom
! DFT formation energy: 4.2 kcal/mol of atoms
! M_tot: 5.7 μB per cell


! ErThMn | Alexandria | PBE | relaxed; values from VASP
&SYSTEM
  ibrav = 0, nat = 6, ntyp = 3
/
ATOMIC_SPECIES
Er 167.26 Er.upf
Th 232.04 Th.upf
Mn 54.94 Mn.upf
ATOMIC_POSITIONS angstrom
Er 0.000 0.000 0.000
Er 1.774 1.774 6.002
Th 0.000 0.000 3.446
Th 1.774 1.774 9.448
Mn 0.000 0.000 7.770
Mn 1.774 1.774 1.768
CELL_PARAMETERS angstrom
3.547 0.000 0.000
0.000 3.547 0.000
0.000 0.000 12.003
! final energy: -6.862 eV/atom
! DFT formation energy: 4.3 kcal/mol of atoms
! M_tot: 5.5 μB per cell
! distance to the lowest polymorph of the same formula: 91 meV per atom


! ErTh3Mn | Alexandria | PBE | relaxed; values from VASP
&SYSTEM
  ibrav = 0, nat = 5, ntyp = 3
/
ATOMIC_SPECIES
Er 167.26 Er.upf
Th 232.04 Th.upf
Mn 54.94 Mn.upf
ATOMIC_POSITIONS angstrom
Er 0.000 0.000 0.000
Th 0.000 2.655 2.655
Th 2.655 0.000 2.655
Th 2.655 2.655 0.000
Mn 2.655 2.655 2.655
CELL_PARAMETERS angstrom
5.310 0.000 0.000
0.000 5.310 0.000
0.000 0.000 5.310
! final energy: -7.053 eV/atom
! DFT formation energy: 3.4 kcal/mol of atoms
! M_tot: 0.0 μB per cell